# 1
# Cd2Cl3, relaxed, DFT PBE
# ΔE_f (raw)   -0.75 eV per atom
data_Cd2Cl3
_chemical_formula_sum 'Cd2 Cl3'
_space_group_name_H-M_alt 'P -3 m 1'
_space_group_IT_number 164
_space_group_name_Hall '-P 3 2"'
_cell_length_a 4.0864
_cell_length_b 4.0864
_cell_length_c 9.4602
_cell_angle_alpha 90.00
_cell_angle_beta 90.00
_cell_angle_gamma 120.00
loop_
_atom_site_label
_atom_site_fract_x
_atom_site_fract_y
_atom_site_fract_z
Cd1 0.3333 0.6667 0.3101
Cl1 0.0000 0.0000 0.5000
Cl2 0.3333 0.6667 0.8278

---

# 2
# Cd3Cl, relaxed, DFT PBE
# ΔE_f (raw)   -0.21 eV per atom
data_Cd3Cl
_chemical_formula_sum 'Cd6 Cl2'
_space_group_name_H-M_alt 'C m m m'
_space_group_IT_number 65
_space_group_name_Hall '-C 2 2'
_cell_length_a 4.208
_cell_length_b 5.624
_cell_length_c 8.279
_cell_angle_alpha 90.00
_cell_angle_beta 90.00
_cell_angle_gamma 90.00
loop_
_atom_site_label
_atom_site_fract_x
_atom_site_fract_y
_atom_site_fract_z
Cd1 0.000 0.000 0.000
Cd2 0.000 0.500 0.250
Cl1 0.000 0.000 0.500

---

Number 1: electronic total energy -2.2242 eV/atom. Number 2: electronic total energy -1.3623 eV/atom.